{
  "formula": "Ce4ZrPa3As8",
  "functional": "GGA-PBE",
  "state": "optimized geometry",
  "e_form_ev_per_atom": -1.2519,
  "total_energy_ry_per_atom": -0.542,
  "spacegroup": "R-3m, No. 166",
  "lattice_angstrom": [[-1.3617, -8.0754, 0.7037], [8.0144, -1.4721, -1.3852], [-2.2336, 5.0876, 6.0573]],
  "species": ["Ce", "Ce", "Ce", "Ce", "As", "As", "As", "As", "As", "As", "As", "As", "Pa", "Pa", "Pa", "Zr"],
  "frac_coords": [[0.5000, 0.0000, 0.5000], [0.0000, 0.0000, 0.5000], [0.5000, 0.0000, 0.0000], [0.0000, 0.0000, 0.0000], [0.2427, 0.7373, 0.4854], [0.2427, 0.7373, 0.9946], [0.7573, 0.2627, 0.5146], [0.7475, 0.7426, 0.4951], [0.7519, 0.7373, 0.9946], [0.2525, 0.2574, 0.5049], [0.2481, 0.2627, 0.0054], [0.7573, 0.2627, 0.0054], [0.5000, 0.5000, 0.5000], [0.0000, 0.5000, 0.5000], [0.5000, 0.5000, 0.0000], [0.0000, 0.5000, 0.0000]]
}